Record 1
BaP2PbCl | PBE | optimized geometry

a b c (Å): 5.8145 5.8145 5.7848
angles (deg): 90.00 90.00 90.00
Last column: nearest neighbours and their distance in Å.
Space group P4/mmm (No. 123)
One atom of each set of equivalent atoms:
Ba (0.0000, 0.0000, 0.0000) (multiplicity 1)  2 Cl 2.89, 4 P 2.91
P (0.0000, 0.5000, 0.0000) (multiplicity 2)  2 Ba 2.91
Pb (0.5000, 0.5000, 0.5000) (multiplicity 1)  8 P 4.10, 4 Cl 4.11
Cl (0.0000, 0.0000, 0.5000) (multiplicity 1)  2 Ba 2.89

Calculated values
**Uncorrected formation energy**: 0.40 eV/atom
**Volume**: 196 Å³/f.u.
**Energy**: -16.307 eV per cell
**Distance to the lowest polymorph of the same formula**: 667 meV/atom


Record 2
Ba4PPdCl2 | PBE | optimized geometry

a b c (Å): 8.0785 4.6135 8.1724
angles (deg): 90.00 107.28 90.00
Last column: nearest neighbours and their distance in Å.
Space group P2/m (No. 10)
One atom of each set of equivalent atoms:
Ba (0.2398, 0.0000, 0.2167) (multiplicity 2)  1 Pd 3.13, 2 P 3.19, 3 Cl 3.43-3.49
Ba (0.2544, 0.5000, 0.7702) (multiplicity 2)  1 P 3.17, 2 Pd 3.25, 3 Cl 3.38-3.42
P (0.0000, 0.5000, 0.0000) (multiplicity 1)  6 Ba 3.17-3.19
Pd (0.5000, 0.0000, 0.0000) (multiplicity 1)  6 Ba 3.13-3.25
Cl (0.0000, 0.0000, 0.5000) (multiplicity 1)  6 Ba 3.42-3.43
Cl (0.5000, 0.5000, 0.5000) (multiplicity 1)  6 Ba 3.38-3.49

Calculated values
**Uncorrected formation energy**: -1.41 eV/atom
**Volume**: 291 Å³/f.u.
**Energy**: -33.306 eV per cell


Record 3
Ba8P3PdCl3 | PBE | optimized geometry

a b c (Å): 9.3340 9.3340 22.8985
angles (deg): 90.00 90.00 120.00
Last column: nearest neighbours and their distance in Å.
Space group R-3m (No. 166, hexagonal axes)
One atom of each set of equivalent atoms:
Ba (0.0000, 0.0000, 0.2424) (multiplicity 6)  3 P 3.20, 3 Cl 3.41
Ba (0.0092, 0.5046, 0.7577) (multiplicity 18)  2 P 3.17, 1 Pd 3.27, 2 Cl 3.44
P (0.0000, 0.5000, 0.5000) (multiplicity 9)  6 Ba 3.17-3.20
Pd (0.0000, 0.0000, 0.5000) (multiplicity 3)  6 Ba 3.27
Cl (0.0000, 0.5000, 0.0000) (multiplicity 9)  6 Ba 3.41-3.44

Calculated values
**Uncorrected formation energy**: -1.38 eV/atom
**Volume**: 576 Å³/f.u.
**Energy**: -188.962 eV per cell


Record 4
BaPPdCl2 | PBE | optimized geometry

a b c (Å): 5.1710 5.1710 4.6758
angles (deg): 90.00 90.00 90.00
Last column: nearest neighbours and their distance in Å.
Space group P4/mmm (No. 123)
One atom of each set of equivalent atoms:
Ba (0.0000, 0.0000, 0.0000) (multiplicity 1)  8 Cl 3.49, 4 P 3.66
P (0.5000, 0.5000, 0.0000) (multiplicity 1)  2 Pd 2.34
Pd (0.5000, 0.5000, 0.5000) (multiplicity 1)  2 P 2.34, 4 Cl 2.59
Cl (0.0000, 0.5000, 0.5000) (multiplicity 2)  2 Pd 2.59

Calculated values
**Uncorrected formation energy**: -0.90 eV/atom
**Volume**: 125 Å³/f.u.
**Energy**: -20.708 eV per cell
**Distance to the lowest polymorph of the same formula**: 0 meV/atom